NaAlNiTe3 | PBE | relaxed

Cell: 4.0048 13.3711 11.3623 Å, 90.00 90.00 90.00°
Space group Cmcm (No. 63)
Asymmetric unit:
Na 0.0000 0.2428 0.2500 (multiplicity 4)
Al 0.0000 0.0000 0.0000 (multiplicity 4)
Ni 0.0000 0.4442 0.7500 (multiplicity 4)
Te 0.0000 0.0556 0.7500 (multiplicity 4)
Te 0.0000 0.3616 0.5502 (multiplicity 8)

- Energy above the lowest structure with this stoichiometry: 76 meV/atom

***

LiDyCdS3 | PBE | relaxed

Cell: 3.9444 12.5238 10.8226 Å, 90.00 90.00 90.00°
Space group Cmcm (No. 63)
Asymmetric unit:
Li 0.0000 0.2469 0.2500 (multiplicity 4)
Dy 0.0000 0.5000 0.0000 (multiplicity 4)
Cd 0.0000 0.0276 0.7500 (multiplicity 4)
S 0.0000 0.1406 0.5635 (multiplicity 8)
S 0.0000 0.3986 0.7500 (multiplicity 4)

- Energy above the lowest structure with this stoichiometry: 154 meV/atom

***

BaZrNb | PBE | relaxed

Cell: 6.9019 6.9019 6.9019 Å, 90.00 90.00 90.00°
Space group F-43m (No. 216)
Asymmetric unit:
Ba 0.0000 0.0000 0.0000 (multiplicity 4)
Zr 0.2500 0.2500 0.2500 (multiplicity 4)
Nb 0.2500 0.2500 0.7500 (multiplicity 4)

- Energy above the lowest structure with this stoichiometry: 629 meV/atom

***

NaHf3P5 | PBE | relaxed

Cell: 6.0495 6.0495 5.9034 Å, 90.00 90.00 120.00°
Space group P6/mmm (No. 191)
Asymmetric unit:
Na 0.0000 0.0000 0.0000 (multiplicity 1)
Hf 0.0000 0.5000 0.5000 (multiplicity 3)
P 0.0000 0.0000 0.5000 (multiplicity 1)
P 0.3333 0.6667 0.1821 (multiplicity 4)

- Calculated total energy: -7.03 eV/atom

***

Table of mass density (kg/m3), in record order: 5365 4697 6494 6331